--- P ---
First-principles (PBE) data for a geometry-optimized TbTh2Co2 structure, as listed in the Alexandria database.

Values from the calculation:
V   124.7 Å³/cell
Total moment   0.00 μB/cell

extended XYZ file:
```
5
Lattice="4.333 0.000 0.000 0.000 5.141 -0.520 -2.166 -2.013 5.800" Properties=species:S:1:pos:R:3 pbc="T T T"
Co 0.000 2.960 3.606
Co 2.166 0.168 1.674
Th 2.166 2.767 1.694
Th 0.000 0.361 3.587
Tb 0.000 0.000 0.000
```

--- Q ---
First-principles (PBE) data for a geometry-optimized TbTh2Co2 structure, as listed in the Alexandria database.

Values from the calculation:
V   220.8 Å³/cell
Total moment   0.00 μB/cell

extended XYZ file:
```
10
Lattice="3.745 0.000 0.000 0.000 7.679 0.000 0.000 0.000 7.679" Properties=species:S:1:pos:R:3 pbc="T T T"
Co 0.000 2.852 6.691
Co 0.000 4.827 0.988
Co 0.000 6.691 4.827
Co 0.000 0.988 2.852
Tb 0.000 0.000 0.000
Tb 0.000 3.840 3.840
Th 1.872 5.091 6.428
Th 1.872 6.428 2.589
Th 1.872 2.589 1.251
Th 1.872 1.251 5.091
```

Short version: Q, P, most stable first.

--- P ---
First-principles (PBE) data for a geometry-optimized TbTiCo2 structure, as listed in the Alexandria database.

Values from the calculation:
V   63.9 Å³/cell
Total moment   1.20 μB/cell

extended XYZ file:
```
4
Lattice="-1.089 2.918 -0.322 -4.235 -1.560 0.183 0.010 0.498 4.489" Properties=species:S:1:pos:R:3 pbc="T T T"
Ti -0.545 1.459 -0.161
Co 0.005 0.249 2.245
Co -2.117 -0.780 0.091
Tb -2.657 0.928 2.175
```

--- Q ---
First-principles (PBE) data for a geometry-optimized TbTiCo2 structure, as listed in the Alexandria database.

Values from the calculation:
V   63.2 Å³/cell
Total moment   0.89 μB/cell

extended XYZ file:
```
4
Lattice="3.090 0.000 0.000 0.000 3.090 0.000 0.000 0.000 6.618" Properties=species:S:1:pos:R:3 pbc="T T T"
Co 0.000 0.000 1.351
Co 0.000 0.000 5.267
Tb 1.545 1.545 3.309
Ti 1.545 1.545 0.000
```

Short version: Q, P, most stable first.

--- P ---
First-principles (PBE) data for a geometry-optimized Tb3TlCo structure, as listed in the Alexandria database.

Values from the calculation:
V   267.4 Å³/cell
Total moment   0.00 μB/cell

extended XYZ file:
```
10
Lattice="-1.056 1.463 5.081 -5.161 -2.428 -3.235 5.296 -6.634 3.011" Properties=species:S:1:pos:R:3 pbc="T T T"
Co -4.342 -0.900 2.218
Co 3.420 -6.699 2.640
Tb -3.849 -1.866 -0.263
Tb -0.859 -5.821 4.359
Tb -2.647 -2.689 3.085
Tb 2.927 -5.733 5.120
Tb 1.725 -4.910 1.772
Tb -0.063 -1.778 0.499
Tl -1.506 -4.984 1.122
Tl 0.585 -2.615 3.736
```

--- Q ---
First-principles (PBE) data for a geometry-optimized Tb3TlCo structure, as listed in the Alexandria database.

Values from the calculation:
V   137.9 Å³/cell
Total moment   0.00 μB/cell

extended XYZ file:
```
5
Lattice="5.166 0.000 0.000 0.000 5.166 0.000 0.000 0.000 5.166" Properties=species:S:1:pos:R:3 pbc="T T T"
Co 0.000 0.000 0.000
Tb 0.000 2.583 0.000
Tb 2.583 0.000 0.000
Tb 0.000 0.000 2.583
Tl 2.583 2.583 2.583
```

Short version: P, Q, most stable first.

--- P ---
First-principles (PBE) data for a geometry-optimized Tb3TmCo structure, as listed in the Alexandria database.

Values from the calculation:
V   147.1 Å³/cell
Total moment   0.00 μB/cell

extended XYZ file:
```
5
Lattice="-2.420 -2.532 -3.949 -3.251 -2.298 3.466 -3.382 4.021 -0.506" Properties=species:S:1:pos:R:3 pbc="T T T"
Tb -1.691 2.011 -0.253
Tb -1.625 -1.149 1.733
Tb -1.210 -1.266 -1.974
Co 0.000 0.000 0.000
Tm -4.527 -0.404 -0.494
```

--- Q ---
First-principles (PBE) data for a geometry-optimized Tb3TmCo structure, as listed in the Alexandria database.

Values from the calculation:
V   278.1 Å³/cell
Total moment   0.36 μB/cell

extended XYZ file:
```
10
Lattice="6.587 -0.073 -2.664 -3.302 5.850 -2.318 0.198 0.070 7.136" Properties=species:S:1:pos:R:3 pbc="T T T"
Tb 3.199 2.607 -1.791
Tb 3.303 3.202 1.772
Tb 0.285 3.241 3.946
Tb 5.438 0.232 -0.264
Tb -1.954 5.615 2.419
Tb 0.181 2.645 0.383
Co 1.812 1.477 2.908
Co 1.672 4.370 -0.753
Tm -1.137 5.569 -1.215
Tm 4.621 0.278 3.370
```

Short version: Q, P, most stable first.

--- P ---
First-principles (PBE) data for a geometry-optimized TbTmCo structure, as listed in the Alexandria database.

Values from the calculation:
V   71.7 Å³/cell
Total moment   0.00 μB/cell

extended XYZ file:
```
3
Lattice="-0.925 -2.652 3.722 2.117 -4.123 0.509 3.227 -0.570 3.317" Properties=species:S:1:pos:R:3 pbc="T T T"
Tb 0.000 0.000 0.000
Co 1.105 -1.836 1.887
Tm 2.209 -3.673 3.774
```

--- Q ---
First-principles (PBE) data for a geometry-optimized TbTmCo structure, as listed in the Alexandria database.

Values from the calculation:
V   140.6 Å³/cell
Total moment   1.31 μB/cell

extended XYZ file:
```
6
Lattice="3.346 0.007 0.001 -0.012 6.701 0.041 -1.669 -1.726 6.261" Properties=species:S:1:pos:R:3 pbc="T T T"
Tb 0.386 2.595 2.439
Tb 0.387 2.584 5.676
Co 2.057 4.307 4.059
Co 2.062 0.878 4.059
Tm 0.381 5.956 2.479
Tm 0.392 -0.777 5.638
```

--- R ---
First-principles (PBE) data for a geometry-optimized TbTmCo structure, as listed in the Alexandria database.

Values from the calculation:
V   78.6 Å³/cell
Total moment   0.00 μB/cell

extended XYZ file:
```
3
Lattice="3.848 0.000 0.000 -1.924 3.332 0.000 0.000 0.000 6.133" Properties=species:S:1:pos:R:3 pbc="T T T"
Tm 0.000 2.222 3.466
Co 1.924 1.111 2.058
Tb 0.000 0.000 0.609
```

--- S ---
First-principles (PBE) data for a geometry-optimized TbTmCo structure, as listed in the Alexandria database.

Values from the calculation:
V   148.2 Å³/cell
Total moment   0.00 μB/cell

extended XYZ file:
```
6
Lattice="3.751 0.000 0.000 0.000 5.602 -0.394 0.000 -0.301 7.073" Properties=species:S:1:pos:R:3 pbc="T T T"
Co 2.813 0.741 0.253
Co 0.938 4.560 6.426
Tb 2.813 4.359 4.444
Tb 0.938 0.942 2.235
Tm 0.938 1.668 5.782
Tm 2.813 3.634 0.897
```

Short version: S, Q, P, R, most stable first.

--- P ---
First-principles (PBE) data for a geometry-optimized TbY2Co2 structure, as listed in the Alexandria database.

Values from the calculation:
V   113.6 Å³/cell
Total moment   0.00 μB/cell

extended XYZ file:
```
5
Lattice="3.732 0.000 0.000 0.000 5.522 0.138 -1.866 -1.442 5.477" Properties=species:S:1:pos:R:3 pbc="T T T"
Co 0.000 4.161 3.205
Co 1.866 -0.081 2.410
Y 0.000 1.307 3.924
Y 1.866 2.772 1.691
Tb 0.000 0.000 0.000
```

--- Q ---
First-principles (PBE) data for a geometry-optimized TbY2Co2 structure, as listed in the Alexandria database.

Values from the calculation:
V   113.9 Å³/cell
Total moment   1.01 μB/cell

extended XYZ file:
```
5
Lattice="4.054 0.000 0.000 0.000 3.759 -1.069 0.000 0.087 7.451" Properties=species:S:1:pos:R:3 pbc="T T T"
Y 2.027 2.464 1.520
Y 2.027 1.382 4.863
Co 0.000 3.029 3.511
Co 0.000 0.816 2.872
Tb 0.000 0.000 0.000
```

Short version: Q, P, most stable first.

--- P ---
First-principles (PBE) data for a geometry-optimized TbYCo structure, as listed in the Alexandria database.

Values from the calculation:
V   73.6 Å³/cell
Total moment   0.00 μB/cell

extended XYZ file:
```
3
Lattice="4.705 0.000 0.000 2.352 4.074 0.000 2.352 1.358 3.841" Properties=species:S:1:pos:R:3 pbc="T T T"
Tb 4.705 2.716 1.921
Co 2.352 1.358 0.960
Y 0.000 0.000 0.000
```

--- Q ---
First-principles (PBE) data for a geometry-optimized TbYCo structure, as listed in the Alexandria database.

Values from the calculation:
V   152.3 Å³/cell
Total moment   0.00 μB/cell

extended XYZ file:
```
6
Lattice="3.775 0.000 0.000 0.000 5.790 -0.157 0.000 -0.223 6.976" Properties=species:S:1:pos:R:3 pbc="T T T"
Co 2.831 0.711 0.251
Co 0.944 4.855 6.568
Tb 2.831 4.672 4.613
Tb 0.944 0.894 2.207
Y 0.944 1.862 5.707
Y 2.831 3.704 1.112
```

--- R ---
First-principles (PBE) data for a geometry-optimized TbYCo structure, as listed in the Alexandria database.

Values from the calculation:
V   81.0 Å³/cell
Total moment   0.00 μB/cell

extended XYZ file:
```
3
Lattice="3.873 0.000 0.000 -1.936 3.354 0.000 0.000 0.000 6.237" Properties=species:S:1:pos:R:3 pbc="T T T"
Tb 0.000 0.000 0.634
Y 0.000 2.236 3.533
Co 1.936 1.118 2.069
```

--- S ---
First-principles (PBE) data for a geometry-optimized TbYCo structure, as listed in the Alexandria database.

Values from the calculation:
V   139.5 Å³/cell
Total moment   0.00 μB/cell

extended XYZ file:
```
6
Lattice="-0.573 -1.562 3.065 -2.960 -3.567 -2.372 6.482 -3.633 -2.626" Properties=species:S:1:pos:R:3 pbc="T T T"
Tb 4.605 -5.586 -3.352
Tb 0.357 -1.693 1.811
Y 0.604 -4.704 0.315
Y 4.358 -2.576 -1.856
Co 2.643 -5.175 -1.525
Co 2.318 -2.105 -0.016
```

Short version: Q, S, R, P, most stable first.

--- P ---
First-principles (PBE) data for a geometry-optimized TbYZnCo structure, as listed in the Alexandria database.

Values from the calculation:
V   86.9 Å³/cell
Total moment   0.00 μB/cell

extended XYZ file:
```
4
Lattice="-3.436 -0.200 -1.742 -0.355 -4.049 1.165 -0.662 1.610 5.394" Properties=species:S:1:pos:R:3 pbc="T T T"
Zn -2.210 -1.925 0.308
Co -2.067 1.311 3.928
Tb -3.608 -1.039 2.963
Y -0.668 0.424 1.269
```

--- Q ---
First-principles (PBE) data for a geometry-optimized TbYZnCo structure, as listed in the Alexandria database.

Values from the calculation:
V   82.8 Å³/cell
Total moment   0.00 μB/cell

extended XYZ file:
```
4
Lattice="-0.125 -1.480 -4.660 -0.580 -4.743 -1.045 -4.198 -1.578 -1.953" Properties=species:S:1:pos:R:3 pbc="T T T"
Y -3.678 -5.851 -5.743
Zn 0.000 0.000 0.000
Co -2.452 -3.901 -3.829
Tb -1.226 -1.950 -1.914
```

Short version: P, Q, most stable first.